Li2NbO: optimized geometry, PBE.

Geometry as POSCAR:
```
Li2NbO
1.0
-3.518 3.518 2.081
3.518 -3.518 2.081
3.518 3.518 -2.081
Li Nb O
4 2 2
direct
0.019 0.125 0.394
0.375 0.981 0.106
0.731 0.625 0.606
0.875 0.269 0.894
0.250 0.750 0.500
0.500 0.500 0.000
0.000 0.000 0.000
0.750 0.250 0.500
```

Values from the calculation:
Mass density: 4.0 g/cm³
Uncorrected formation energy: -0.552 eV/atom
E_tot: -42.126 eV/cell
SG: I-42d